No. 1
{"formula": "NaGa2ReP", "functional": "PBE", "state": "optimized geometry", "e_tot_ev_per_atom": -3.323, "sg": "P4/mmm (123)", "vol_a3_per_fu": 111, "lattice_angstrom": [[4.832, 0.000, 0.000], [0.000, 4.832, 0.000], [0.000, 0.000, 4.765]], "species": ["Na", "Ga", "Ga", "Re", "P"], "fractional_positions": [[0.000, 0.000, 0.000], [0.000, 0.500, 0.000], [0.500, 0.000, 0.000], [0.500, 0.500, 0.500], [0.000, 0.000, 0.500]]}

---

No. 2
{"formula": "Na2GaReP", "functional": "PBE", "state": "optimized geometry", "e_tot_ev_per_atom": -4.157, "sg": "P4/mmm (123)", "vol_a3_per_fu": 123, "lattice_angstrom": [[5.235, 0.000, 0.000], [0.000, 5.235, 0.000], [0.000, 0.000, 4.500]], "species": ["Na", "Na", "Ga", "Re", "P"], "fractional_positions": [[0.000, 0.500, 0.000], [0.500, 0.000, 0.000], [0.000, 0.000, 0.500], [0.500, 0.500, 0.500], [0.500, 0.500, 0.000]]}

---

No. 3
{"formula": "NaGaPRh2", "functional": "PBE", "state": "optimized geometry", "e_tot_ev_per_atom": -4.902, "sg": "P4/mmm (123)", "vol_a3_per_fu": 95, "lattice_angstrom": [[4.436, 0.000, 0.000], [0.000, 4.436, 0.000], [0.000, 0.000, 4.853]], "species": ["Na", "Ga", "P", "Rh", "Rh"], "fractional_positions": [[0.000, 0.000, 0.000], [0.500, 0.500, 0.000], [0.500, 0.500, 0.500], [0.000, 0.500, 0.500], [0.500, 0.000, 0.500]]}